(1)
Below is a geometry-optimized Pr2TmScTe5 structure, with properties calculated at the PBE level.

E ... -4.805 eV/atom
DOS(E_F) ... 0.8383 states/eV per atom
Energy relative to the elements, uncorrected ... -692 kJ/mol of formula units

```
data_Pr2TmScTe5
_symmetry_space_group_name_H-M 'P 4/m m m'
_symmetry_Int_Tables_number 123
_symmetry_space_group_name_Hall '-P 4 2'
_cell_length_a 5.488
_cell_length_b 5.488
_cell_length_c 11.135
_cell_angle_alpha 90.00
_cell_angle_beta 90.00
_cell_angle_gamma 90.00
loop_
_atom_site_label
_atom_site_fract_x
_atom_site_fract_y
_atom_site_fract_z
Pr1 0.000 0.000 0.189
Tm1 0.500 0.500 0.000
Sc1 0.500 0.500 0.500
Te1 0.000 0.000 0.500
Te2 0.000 0.500 0.000
Te3 0.500 0.500 0.261
```


(2)
Below is a geometry-optimized Pr4Y3ScTe8 structure, with properties calculated at the PBE level.

E ... -5.718 eV/atom
DOS(E_F) ... 0.7241 states/eV per atom
Energy relative to the elements, uncorrected ... -2076 kJ/mol of formula units

```
data_Pr4Y3ScTe8
_symmetry_space_group_name_H-M 'R -3 m'
_symmetry_Int_Tables_number 166
_symmetry_space_group_name_Hall '-R 3 2"'
_cell_length_a 8.7602
_cell_length_b 8.7602
_cell_length_c 22.1624
_cell_angle_alpha 90.00
_cell_angle_beta 90.00
_cell_angle_gamma 120.00
loop_
_atom_site_label
_atom_site_fract_x
_atom_site_fract_y
_atom_site_fract_z
Pr1 0.0000 0.0000 0.0000
Pr2 0.0000 0.5000 0.0000
Y1 0.0000 0.5000 0.5000
Sc1 0.0000 0.0000 0.5000
Te1 0.0000 0.0000 0.2453
Te2 0.0073 0.5036 0.2436
```


(3)
Below is a geometry-optimized Pr2YScTe4 structure, with properties calculated at the PBE level.

E ... -5.682 eV/atom
DOS(E_F) ... 0.6056 states/eV per atom
Energy relative to the elements, uncorrected ... -1016 kJ/mol of formula units

```
data_Pr2YScTe4
_symmetry_space_group_name_H-M 'P 1 2/m 1'
_symmetry_Int_Tables_number 10
_cell_length_a 7.550
_cell_length_b 4.333
_cell_length_c 7.785
_cell_angle_alpha 90.00
_cell_angle_beta 108.67
_cell_angle_gamma 90.00
loop_
_symmetry_equiv_pos_as_xyz
'x,y,z'
'-x,-y,-z'
'-x,y,-z'
'x,-y,z'
loop_
_atom_site_label
_atom_site_fract_x
_atom_site_fract_y
_atom_site_fract_z
Pr1 0.000 0.000 0.000
Pr2 0.500 0.500 0.000
Y1 0.000 0.500 0.500
Sc1 0.500 0.000 0.500
Te1 0.251 0.000 0.731
Te2 0.265 0.500 0.274
```


Q: Among the records above, which one has the lowest DOS(E_F)?
A: Pr2YScTe4